[1]
The following is a PBE calculation of a geometry-optimized MgRe2Ge2 structure, from Alexandria via LeMat-Bulk.

Summary:
For the volume, the calculation gives 18.87 A^3/atom. The formation energy is 0.3884 eV/atom. The total energy is -0.4966 Ry per atom. The excess energy over the best structure of this formula in the dataset is 191.3 meV per atom.

Cell and atoms, written as POSCAR:
```
MgRe2Ge2
1.0
-1.6023 2.6410 3.1034
1.6321 -2.6396 3.0890
4.2118 2.5713 3.0753
Re Ge Mg
2 2 1
Direct
0.3814 0.3814 0.2371
0.6186 0.6186 0.7629
0.7500 0.2500 0.5000
0.2500 0.7500 0.5000
0.0000 0.0000 0.0000
```



[2]
The following is a PBE calculation of a geometry-optimized Mg3ReGe structure, from Alexandria via LeMat-Bulk.

Summary:
For the volume, the calculation gives 25.62 A^3/atom. The formation energy is 1.0613 eV/atom. The total energy is -0.2432 Ry per atom. The excess energy over the best structure of this formula in the dataset is 0.0 meV per atom.

Cell and atoms, written as POSCAR:
```
Mg3ReGe
1.0
5.0413 0.0000 0.0000
0.0000 5.0413 0.0000
0.0000 0.0000 5.0413
Re Ge Mg
1 1 3
Direct
0.0000 0.0000 0.0000
0.5000 0.5000 0.5000
0.0000 0.5000 0.0000
0.0000 0.0000 0.5000
0.5000 0.0000 0.0000
```



Please write out number 2 again, unchanged.
The following is a PBE calculation of a geometry-optimized Mg3ReGe structure, from Alexandria via LeMat-Bulk.

Summary:
For the volume, the calculation gives 25.62 A^3/atom. The formation energy is 1.0613 eV/atom. The total energy is -0.2432 Ry per atom. The excess energy over the best structure of this formula in the dataset is 0.0 meV per atom.

Cell and atoms, written as POSCAR:
```
Mg3ReGe
1.0
5.0413 0.0000 0.0000
0.0000 5.0413 0.0000
0.0000 0.0000 5.0413
Re Ge Mg
1 1 3
Direct
0.0000 0.0000 0.0000
0.5000 0.5000 0.5000
0.0000 0.5000 0.0000
0.0000 0.0000 0.5000
0.5000 0.0000 0.0000
```



- Which of these has the lowest excess energy over the best structure of this formula in the dataset?
  Mg3ReGe



- What is the formula in the second record?
  Mg3ReGe